(1)
This record from Alexandria describes a geometry-optimized LiTm2PaSe6 structure. The functional is PBE.

POSCAR file:
```
LiTm2PaSe6
1.0
6.6987 0.0000 0.0000
0.0000 6.6987 0.0000
0.0000 0.0000 6.6676
Li Tm Pa Se
1 2 1 6
direct
0.0000 0.0000 0.0000
0.0000 0.5000 0.4413
0.5000 0.0000 0.4413
0.5000 0.5000 0.0537
0.0000 0.0000 0.6330
0.2389 0.2389 0.2116
0.2389 0.7611 0.2116
0.5000 0.5000 0.6395
0.7611 0.2389 0.2116
0.7611 0.7611 0.2116
```

## Properties
Space group: P4mm
Formation energy from raw total energies (kcal/mol of atoms): -26.32
Final energy (Ry per atom): -0.38715

=====

(2)
This record from Alexandria describes a geometry-optimized CaPaIrPd structure. The functional is PBE.

POSCAR file:
```
CaPaIrPd
1.0
0.0000 3.4711 3.4711
3.4711 0.0000 3.4711
3.4711 3.4711 0.0000
Ca Pa Ir Pd
1 1 1 1
direct
0.0000 0.0000 0.0000
0.5000 0.5000 0.5000
0.2500 0.2500 0.2500
0.7500 0.7500 0.7500
```

## Properties
Space group: F-43m
DOS at the Fermi energy (states/eV/atom): 1.270
Calculated formation energy (eV/atom): -0.51
Final energy (Ry per atom): -0.50722